Entry from the Alexandria database: crystalline InGa3S at its relaxed geometry (PBE).

Results
For the total moment, the calculation gives 0.0 μB/cell. As for the formation energy (no corrections): 0.2664 eV/atom. The value obtained for the energy above the most stable polymorph in this dataset is 0.00 eV/f.u. The total energy is -2.923 eV per atom. The theoretical density comes out at 4.71 Mg/m³.

Lattice parameters (Å, degrees): 5.007 5.007 5.007 90.00 90.00 90.00
Fractional coordinates of all 5 atoms:
S1 0.000 0.000 0.000
Ga1 0.000 0.000 0.500
In1 0.500 0.500 0.500
Ga2 0.500 0.000 0.000
Ga3 0.000 0.500 0.000

=====

Entry from the Alexandria database: crystalline InGa2S2 at its relaxed geometry (PBE).

Results
For the total moment, the calculation gives 0.0 μB/cell. As for the formation energy (no corrections): -0.2615 eV/atom. The value obtained for the energy above the most stable polymorph in this dataset is 0.00 eV/f.u. The total energy is -3.671 eV per atom. The theoretical density comes out at 5.04 Mg/m³.

Lattice parameters (Å, degrees): 4.867 4.867 5.606 64.27 64.27 90.00
Fractional coordinates of all 5 atoms:
In1 0.000 0.000 0.000
S1 0.750 0.250 0.500
Ga1 0.648 0.648 0.704
S2 0.250 0.750 0.500
Ga2 0.352 0.352 0.296

=====

Entry from the Alexandria database: crystalline In2GaS4 at its relaxed geometry (PBE).

Results
For the total moment, the calculation gives 0.0 μB/cell. As for the formation energy (no corrections): -0.4870 eV/atom. The value obtained for the energy above the most stable polymorph in this dataset is 0.07 eV/f.u. The total energy is -4.060 eV per atom. The theoretical density comes out at 3.94 Mg/m³.

Lattice parameters (Å, degrees): 3.978 3.978 13.151 90.00 90.00 120.00
Fractional coordinates of all 7 atoms:
In1 0.000 0.000 0.705
In2 0.667 0.333 0.008
S1 0.333 0.667 0.624
S2 0.000 0.000 0.895
S3 0.333 0.667 0.118
S4 0.000 0.000 0.355
Ga1 0.333 0.667 0.296